An optimized crystal structure of MnHgPt2, computed with PBE-GGA.

Cell: 4.8064 4.8064 5.0509 Å, 78.03 78.03 35.90°
Last column: nearest neighbours and their distance in Å.
Fractional coordinates of all 4 atoms:
Pt (0.5119, 0.5119, 0.4832)  3 Mn 2.68-2.89, 3 Hg 2.80-2.89, 4 Pt 2.83-2.96
Pt (0.9881, 0.9881, 0.0168)  3 Mn 2.68-2.89, 3 Hg 2.80-2.89, 4 Pt 2.83-2.96
Hg (0.7500, 0.7500, 0.7500)  6 Pt 2.80-2.89, 4 Mn 2.93, 2 Hg 2.96
Mn (0.2500, 0.2500, 0.2500)  6 Pt 2.68-2.89, 4 Hg 2.93, 2 Mn 2.96

## Properties
- energy of formation (eV/f.u.) = -0.3